# 1
PBE-GGA Ba4CrP, optimized geometry; total energy = -0.110 Ha/atom; formation enthalpy at 0 K = 0.79 eV per atom
1.0
0.000 5.001 5.001
5.001 0.000 5.001
5.001 5.001 0.000
Ba P Cr
4 1 1
Direct
0.374 0.879 0.374
0.374 0.374 0.374
0.879 0.374 0.374
0.374 0.374 0.879
0.000 0.000 0.000
0.750 0.750 0.750

---

# 2
PBE-GGA CaMoIr2, optimized geometry; total energy = -0.273 Ha/atom; formation enthalpy at 0 K = 0.20 eV per atom; polymorph energy (0 for the lowest one) = 1.449 eV per formula unit
1.0
4.645 -0.012 0.001
3.799 2.672 0.001
0.781 0.246 6.043
Ir Mo Ca
2 1 1
Direct
0.006 0.006 0.931
0.494 0.494 0.569
0.750 0.750 0.750
0.250 0.250 0.250

---

# 3
PBE-GGA CoHgBr3, optimized geometry; total energy = -0.092 Ha/atom; polymorph energy (0 for the lowest one) = 0.000 eV per formula unit; uncorrected formation energy = -0.014 eV/atom
1.0
-1.030 2.725 4.082
-3.520 -3.317 1.326
3.420 -2.593 2.594
Br Co Hg
3 1 1
Direct
0.000 0.500 0.000
0.500 0.000 0.000
0.000 0.000 0.500
0.000 0.000 0.000
0.500 0.500 0.500